No. 1
A plane-wave DFT calculation with GGA-PBE was carried out for a geometry-optimized MgMnGe3 structure.

Geometry as CIF:
```
data_MgMnGe3
_cell_length_a 4.700
_cell_length_b 4.700
_cell_length_c 4.700
_cell_angle_alpha 90.00
_cell_angle_beta 90.00
_cell_angle_gamma 90.00
_symmetry_space_group_name_H-M 'P m -3 m'
_symmetry_Int_Tables_number 221
_symmetry_space_group_name_Hall '-P 4 2 3'
loop_
_atom_site_label
_atom_site_fract_x
_atom_site_fract_y
_atom_site_fract_z
Mg1 0.000 0.000 0.000
Mn1 0.500 0.500 0.500
Ge1 0.000 0.500 0.500
```

* energy above the lowest structure with this stoichiometry: 0.000 eV per atom


No. 2
A plane-wave DFT calculation with GGA-PBE was carried out for a geometry-optimized ErTiZnCu structure.

Geometry as CIF:
```
data_ErTiZnCu
_cell_length_a 6.632
_cell_length_b 6.632
_cell_length_c 6.632
_cell_angle_alpha 90.00
_cell_angle_beta 90.00
_cell_angle_gamma 90.00
_symmetry_space_group_name_H-M 'F -4 3 m'
_symmetry_Int_Tables_number 216
_symmetry_space_group_name_Hall 'F -4 2 3'
loop_
_atom_site_label
_atom_site_fract_x
_atom_site_fract_y
_atom_site_fract_z
Er1 0.000 0.000 0.000
Ti1 0.000 0.000 0.500
Zn1 0.250 0.250 0.750
Cu1 0.250 0.250 0.250
```

* calculated total energy: -73.02 eV/cell


No. 3
A plane-wave DFT calculation with GGA-PBE was carried out for a geometry-optimized LaTlSi2 structure.

Geometry as CIF:
```
data_LaTlSi2
_cell_length_a 10.224
_cell_length_b 3.914
_cell_length_c 5.581
_cell_angle_alpha 90.00
_cell_angle_beta 115.84
_cell_angle_gamma 90.00
_symmetry_space_group_name_H-M 'C 1 2/m 1'
_symmetry_Int_Tables_number 12
_symmetry_space_group_name_Hall '-C 2y'
loop_
_atom_site_label
_atom_site_fract_x
_atom_site_fract_y
_atom_site_fract_z
La1 0.000 0.000 0.000
Tl1 0.000 0.500 0.500
Si1 0.249 0.500 0.361
```

* formation energy without anion corrections: -0.7 eV/f.u.
* energy above the lowest structure with this stoichiometry: 0.061 eV per atom


No. 4
A plane-wave DFT calculation with GGA-PBE was carried out for a geometry-optimized CaMg2Br structure.

Geometry as CIF:
```
data_CaMg2Br
_cell_length_a 4.293
_cell_length_b 4.293
_cell_length_c 12.444
_cell_angle_alpha 90.00
_cell_angle_beta 90.00
_cell_angle_gamma 90.00
_symmetry_space_group_name_H-M 'I 4/m m m'
_symmetry_Int_Tables_number 139
_symmetry_space_group_name_Hall '-I 4 2'
loop_
_atom_site_label
_atom_site_fract_x
_atom_site_fract_y
_atom_site_fract_z
Ca1 0.000 0.000 0.000
Mg1 0.000 0.500 0.250
Br1 0.000 0.000 0.500
```

* formation energy without anion corrections: -1.8 eV/f.u.
* energy above the lowest structure with this stoichiometry: 0.112 eV per atom


No. 5
A plane-wave DFT calculation with GGA-PBE was carried out for a geometry-optimized TcHPd structure.

Geometry as CIF:
```
data_TcHPd
_cell_length_a 2.847
_cell_length_b 3.963
_cell_length_c 5.692
_cell_angle_alpha 90.00
_cell_angle_beta 90.00
_cell_angle_gamma 90.00
_symmetry_space_group_name_H-M 'P m m 2'
_symmetry_Int_Tables_number 25
_symmetry_space_group_name_Hall 'P 2 -2'
loop_
_atom_site_label
_atom_site_fract_x
_atom_site_fract_y
_atom_site_fract_z
Tc1 0.000 0.000 0.000
Tc2 0.500 0.500 0.218
H1 0.500 0.000 0.221
H2 0.500 0.000 0.778
Pd1 0.000 0.000 0.485
Pd2 0.500 0.500 0.730
```

* energy above the lowest structure with this stoichiometry: 0.088 eV per atom


No. 6
A plane-wave DFT calculation with GGA-PBE was carried out for a geometry-optimized Mg2TlInIr structure.

Geometry as CIF:
```
data_Mg2TlInIr
_cell_length_a 5.078
_cell_length_b 5.078
_cell_length_c 5.153
_cell_angle_alpha 90.00
_cell_angle_beta 90.00
_cell_angle_gamma 90.00
_symmetry_space_group_name_H-M 'P 4/m m m'
_symmetry_Int_Tables_number 123
_symmetry_space_group_name_Hall '-P 4 2'
loop_
_atom_site_label
_atom_site_fract_x
_atom_site_fract_y
_atom_site_fract_z
Mg1 0.000 0.500 0.000
Tl1 0.000 0.000 0.500
In1 0.500 0.500 0.500
Ir1 0.500 0.500 0.000
```

* calculated total energy: -17.60 eV/cell


No. 7
A plane-wave DFT calculation with GGA-PBE was carried out for a geometry-optimized Cd2SnP structure.

Geometry as CIF:
```
data_Cd2SnP
_cell_length_a 7.927
_cell_length_b 7.927
_cell_length_c 5.932
_cell_angle_alpha 90.00
_cell_angle_beta 90.00
_cell_angle_gamma 90.00
_symmetry_space_group_name_H-M 'I -4 2 d'
_symmetry_Int_Tables_number 122
_symmetry_space_group_name_Hall 'I -4 2bw'
loop_
_atom_site_label
_atom_site_fract_x
_atom_site_fract_y
_atom_site_fract_z
Cd1 0.204 0.250 0.125
Sn1 0.000 0.000 0.500
P1 0.000 0.000 0.000
```

* energy above the lowest structure with this stoichiometry: 0.000 eV per atom


No. 8
A plane-wave DFT calculation with GGA-PBE was carried out for a geometry-optimized Mg2CdGa2 structure.

Geometry as CIF:
```
data_Mg2CdGa2
_cell_length_a 7.047
_cell_length_b 7.047
_cell_length_c 4.161
_cell_angle_alpha 90.00
_cell_angle_beta 90.00
_cell_angle_gamma 90.00
_symmetry_space_group_name_H-M 'P 4/m b m'
_symmetry_Int_Tables_number 127
_symmetry_space_group_name_Hall '-P 4 2ab'
loop_
_atom_site_label
_atom_site_fract_x
_atom_site_fract_y
_atom_site_fract_z
Mg1 0.170 0.330 0.000
Cd1 0.000 0.000 0.500
Ga1 0.130 0.630 0.500
```

* energy above the lowest structure with this stoichiometry: 0.011 eV per atom


No. 9
A plane-wave DFT calculation with GGA-PBE was carried out for a geometry-optimized PaPH2 structure.

Geometry as CIF:
```
data_PaPH2
_cell_length_a 3.806
_cell_length_b 3.806
_cell_length_c 3.619
_cell_angle_alpha 90.00
_cell_angle_beta 90.00
_cell_angle_gamma 90.00
_symmetry_space_group_name_H-M 'P 4/m m m'
_symmetry_Int_Tables_number 123
_symmetry_space_group_name_Hall '-P 4 2'
loop_
_atom_site_label
_atom_site_fract_x
_atom_site_fract_y
_atom_site_fract_z
Pa1 0.000 0.000 0.000
P1 0.500 0.500 0.000
H1 0.000 0.500 0.500
```

* energy above the lowest structure with this stoichiometry: 0.309 eV per atom


No. 10
A plane-wave DFT calculation with GGA-PBE was carried out for a geometry-optimized RbLa structure.

Geometry as CIF:
```
data_RbLa
_cell_length_a 14.0017
_cell_length_b 14.0017
_cell_length_c 3.7320
_cell_angle_alpha 90.00
_cell_angle_beta 90.00
_cell_angle_gamma 120.00
_symmetry_space_group_name_H-M 'P 63/m'
_symmetry_Int_Tables_number 176
_symmetry_space_group_name_Hall '-P 6c'
loop_
_atom_site_label
_atom_site_fract_x
_atom_site_fract_y
_atom_site_fract_z
Rb1 0.0483 0.2950 0.2500
La1 0.1834 0.6120 0.2500
```

* calculated total energy: -29.27 eV/cell


No. 11
A plane-wave DFT calculation with GGA-PBE was carried out for a geometry-optimized BaZn2Te structure.

Geometry as CIF:
```
data_BaZn2Te
_cell_length_a 10.614
_cell_length_b 4.312
_cell_length_c 5.598
_cell_angle_alpha 90.00
_cell_angle_beta 109.35
_cell_angle_gamma 90.00
_symmetry_space_group_name_H-M 'C 1 2/m 1'
_symmetry_Int_Tables_number 12
_symmetry_space_group_name_Hall '-C 2y'
loop_
_atom_site_label
_atom_site_fract_x
_atom_site_fract_y
_atom_site_fract_z
Ba1 0.000 0.000 0.000
Zn1 0.231 0.000 0.688
Te1 0.000 0.500 0.500
```

* formation energy without anion corrections: -1.6 eV/f.u.


No. 12
A plane-wave DFT calculation with GGA-PBE was carried out for a geometry-optimized BePdS structure.

Geometry as CIF:
```
data_BePdS
_cell_length_a 9.525
_cell_length_b 3.420
_cell_length_c 6.065
_cell_angle_alpha 90.00
_cell_angle_beta 91.99
_cell_angle_gamma 90.00
_symmetry_space_group_name_H-M 'C 1 m 1'
_symmetry_Int_Tables_number 8
_symmetry_space_group_name_Hall 'C -2y'
loop_
_atom_site_label
_atom_site_fract_x
_atom_site_fract_y
_atom_site_fract_z
Be1 0.000 0.000 0.000
Be2 0.006 0.500 0.655
Pd1 0.184 0.500 0.921
Pd2 0.188 0.500 0.448
S1 0.007 0.500 0.184
S2 0.387 0.500 0.691
```

* formation energy without anion corrections: -1.4 eV/f.u.